Version P
DFT (GGA-PBE) results for Rb2InHg after structural relaxation.

```
Rb2InHg
1.0
-5.088 5.088 3.519
5.088 -5.088 3.519
5.088 5.088 -3.519
Rb In Hg
4 2 2
direct
0.098 0.625 0.973
0.375 0.348 0.473
0.652 0.125 0.027
0.875 0.902 0.527
0.250 0.750 0.500
0.500 0.500 0.000
0.000 0.000 0.000
0.750 0.250 0.500
```

As for the total magnetization: 0.00 μB/cell. The symmetry is No. 122. Its volume is 364.44 Å³/cell.

Version Q
DFT (GGA-PBE) results for Rb2InHg after structural relaxation.

```
Rb2InHg
1.0
5.572 -4.478 0.000
5.572 4.478 0.000
0.000 0.000 6.815
Rb In Hg
4 2 2
direct
0.028 0.328 0.250
0.328 0.028 0.750
0.672 0.972 0.250
0.972 0.672 0.750
0.500 0.500 0.000
0.500 0.500 0.500
0.216 0.784 0.250
0.784 0.216 0.750
```

As for the total magnetization: 0.00 μB/cell. The symmetry is No. 63. Its volume is 340.07 Å³/cell.

Energies relative to the most stable structure, in kJ/mol of atoms: version P 18.2; version Q 0.0.

Version P
DFT (GGA-PBE) results for Rb2InHg after structural relaxation.

```
Rb2InHg
1.0
2.037 1.176 12.963
-2.037 1.176 12.963
0.000 -2.352 12.963
Rb In Hg
2 1 1
direct
0.094 0.094 0.094
0.906 0.906 0.906
0.000 0.000 0.000
0.500 0.500 0.500
```

As for the total magnetization: 0.00 μB/cell. The symmetry is No. 166. Its volume is 186.33 Å³/cell.

Version Q
DFT (GGA-PBE) results for Rb2InHg after structural relaxation.

```
Rb2InHg
1.0
0.000 4.456 4.456
4.456 0.000 4.456
4.456 4.456 0.000
Rb In Hg
2 1 1
direct
0.250 0.250 0.250
0.750 0.750 0.750
0.000 0.000 0.000
0.500 0.500 0.500
```

As for the total magnetization: 1.01 μB/cell. The symmetry is No. 225. Its volume is 176.94 Å³/cell.

Version R
DFT (GGA-PBE) results for Rb2InHg after structural relaxation.

```
Rb2InHg
1.0
6.099 -3.482 0.000
6.099 3.482 0.000
-2.115 0.000 4.643
Rb In Hg
2 1 1
direct
0.188 0.188 0.189
0.812 0.812 0.811
0.499 0.501 0.000
0.316 0.684 0.500
```

As for the total magnetization: 0.00 μB/cell. The symmetry is No. 5. Its volume is 197.22 Å³/cell.

Energies relative to the most stable structure, in kJ/mol of atoms: version P 24.5; version Q 11.9; version R 0.0.

Version P
DFT (GGA-PBE) results for RbIn6Hg12 after structural relaxation.

```
RbIn6Hg12
1.0
6.827 3.942 3.476
-6.827 3.942 3.476
0.000 -7.883 3.476
Rb In Hg
1 6 12
direct
0.000 0.000 0.000
0.282 0.282 0.714
0.282 0.714 0.282
0.286 0.718 0.718
0.714 0.282 0.282
0.718 0.287 0.718
0.718 0.718 0.286
0.111 0.500 0.889
0.111 0.889 0.500
0.149 0.394 0.394
0.394 0.149 0.394
0.394 0.394 0.149
0.500 0.111 0.889
0.500 0.889 0.111
0.606 0.606 0.851
0.606 0.851 0.606
0.851 0.606 0.606
0.889 0.111 0.500
0.889 0.500 0.111
```

As for the total magnetization: 0.00 μB/cell. The symmetry is No. 166. Its volume is 561.29 Å³/cell.

Version Q
DFT (GGA-PBE) results for RbIn6Hg12 after structural relaxation.

```
RbIn6Hg12
1.0
7.364 4.252 2.833
-7.364 4.252 2.833
0.000 -8.504 2.833
Rb In Hg
1 6 12
direct
0.000 0.000 0.000
0.035 0.321 0.538
0.321 0.538 0.035
0.462 0.965 0.679
0.538 0.035 0.321
0.679 0.462 0.965
0.965 0.679 0.462
0.121 0.743 0.200
0.200 0.121 0.743
0.212 0.491 0.342
0.257 0.800 0.879
0.342 0.212 0.491
0.491 0.342 0.212
0.509 0.658 0.788
0.658 0.788 0.509
0.743 0.200 0.121
0.788 0.509 0.658
0.800 0.879 0.257
0.879 0.257 0.800
```

As for the total magnetization: 0.00 μB/cell. The symmetry is No. 148. Its volume is 532.17 Å³/cell.

Energies relative to the most stable structure, in kJ/mol of atoms: version P 1.3; version Q 0.0.

Version P
DFT (GGA-PBE) results for Rb2InHg5 after structural relaxation.

```
Rb2InHg5
1.0
-3.663 3.663 5.758
3.663 -3.663 5.758
3.663 3.663 -5.758
Rb In Hg
2 1 5
direct
0.000 0.500 0.500
0.500 0.000 0.500
0.153 0.153 0.000
0.515 0.515 0.533
0.515 0.983 0.000
0.901 0.901 0.000
0.983 0.515 0.000
0.983 0.983 0.467
```

As for the total magnetization: 0.00 μB/cell. The symmetry is No. 107. Its volume is 308.96 Å³/cell.

Version Q
DFT (GGA-PBE) results for Rb2InHg5 after structural relaxation.

```
Rb2InHg5
1.0
5.185 0.000 0.000
0.026 6.865 0.000
0.029 3.384 7.620
Rb In Hg
2 1 5
direct
0.000 0.000 0.000
0.500 0.431 0.150
0.495 0.400 0.682
0.000 0.603 0.790
0.002 0.050 0.445
0.499 0.837 0.347
0.503 0.930 0.706
0.995 0.502 0.447
```

As for the total magnetization: 0.00 μB/cell. The symmetry is No. 1. Its volume is 271.20 Å³/cell.

Energies relative to the most stable structure, in kJ/mol of atoms: version P 1.1; version Q 0.0.

Version P
DFT (GGA-PBE) results for Rb3In2Hg4 after structural relaxation.

```
Rb3In2Hg4
1.0
6.789 -2.651 0.000
6.789 2.651 0.000
-4.029 0.000 9.550
Rb In Hg
3 2 4
direct
0.000 0.000 0.000
0.383 0.383 0.312
0.617 0.617 0.688
0.326 0.326 0.665
0.674 0.674 0.335
0.115 0.115 0.416
0.267 0.267 0.926
0.733 0.733 0.074
0.885 0.885 0.584
```

As for the total magnetization: 0.00 μB/cell. The symmetry is No. 12. Its volume is 343.70 Å³/cell.

Version Q
DFT (GGA-PBE) results for Rb3In2Hg4 after structural relaxation.

```
Rb3In2Hg4
1.0
7.268 -6.061 0.000
7.268 6.061 0.000
-1.589 0.000 8.237
Rb In Hg
6 4 8
direct
0.065 0.935 0.750
0.239 0.521 0.388
0.479 0.761 0.112
0.521 0.239 0.888
0.761 0.479 0.612
0.935 0.065 0.250
0.025 0.336 0.957
0.336 0.025 0.457
0.664 0.975 0.543
0.975 0.664 0.043
0.154 0.262 0.644
0.224 0.561 0.834
0.262 0.154 0.144
0.439 0.776 0.666
0.561 0.224 0.334
0.738 0.846 0.856
0.776 0.439 0.166
0.846 0.738 0.356
```

As for the total magnetization: 0.00 μB/cell. The symmetry is No. 15. Its volume is 725.77 Å³/cell.

Energies relative to the most stable structure, in kJ/mol of atoms: version P 0.0; version Q 4.3.

Version P
DFT (GGA-PBE) results for RbIn2Hg7 after structural relaxation.

```
RbIn2Hg7
1.0
3.177 -13.677 0.000
3.177 13.677 0.000
0.000 0.000 3.483
Rb In Hg
1 2 7
direct
0.000 0.000 0.000
0.291 0.709 0.500
0.709 0.291 0.500
0.144 0.357 0.500
0.196 0.804 0.000
0.357 0.144 0.500
0.500 0.500 0.500
0.643 0.856 0.500
0.804 0.196 0.000
0.856 0.643 0.500
```

As for the total magnetization: 0.00 μB/cell. The symmetry is No. 65. Its volume is 302.62 Å³/cell.

Version Q
DFT (GGA-PBE) results for RbIn2Hg7 after structural relaxation.

```
RbIn2Hg7
1.0
4.818 -6.750 0.000
4.818 6.750 0.000
0.000 0.000 5.781
Rb In Hg
1 2 7
direct
0.000 0.000 0.000
0.273 0.727 0.500
0.727 0.273 0.500
0.099 0.326 0.500
0.296 0.704 0.000
0.326 0.099 0.500
0.500 0.500 0.500
0.674 0.901 0.500
0.704 0.296 0.000
0.901 0.674 0.500
```

As for the total magnetization: 0.00 μB/cell. The symmetry is No. 65. Its volume is 376.02 Å³/cell.

Energies relative to the most stable structure, in kJ/mol of atoms: version P 0.0; version Q 3.5.